## Cs2Na2SrCl7 (PBE-GGA)

Data for a relaxed Cs2Na2SrCl7 crystal.

Its electronic total energy is -39.94 eV/cell.

Cell lengths 5.2185, 5.2185, 14.3197 Å; angles 98.43, 98.43, 88.79 degrees
Last column: nearest neighbours and their distance in Å.
Fractional positions:
Cs: 0.1961 0.1961 0.3639  5 Cl 3.45-3.75
Cs: 0.8039 0.8039 0.6361  5 Cl 3.45-3.75
Na: 0.3714 0.3714 0.7996  6 Cl 2.66-2.83
Na: 0.6286 0.6286 0.2004  6 Cl 2.66-2.83
Sr: 0.0000 0.0000 0.0000  4 Cl 3.05
Cl: 0.1068 0.6233 0.1449  2 Na 2.72-2.73, 1 Sr 3.05
Cl: 0.2938 0.2938 0.6098  1 Na 2.66
Cl: 0.3767 0.8932 0.8551  2 Na 2.72-2.73, 1 Sr 3.05
Cl: 0.5000 0.5000 0.0000  2 Na 2.83, 4 Cl 3.12
Cl: 0.6233 0.1068 0.1449  2 Na 2.72-2.73, 1 Sr 3.05
Cl: 0.7062 0.7062 0.3902  1 Na 2.66
Cl: 0.8932 0.3767 0.8551  2 Na 2.72-2.73, 1 Sr 3.05